# TlSnHgPb2 (GGA-PBE, relaxed)
data_TlSnHgPb2
_chemical_formula_sum 'Tl2 Sn2 Hg2 Pb4'
_cell_length_a 6.9142
_cell_length_b 6.9542
_cell_length_c 7.7021
_cell_angle_alpha 116.84
_cell_angle_beta 90.00
_cell_angle_gamma 90.00
_symmetry_space_group_name_H-M 'P 1'
_symmetry_Int_Tables_number 1
loop_
_symmetry_equiv_pos_as_xyz
'x,y,z'
loop_
_atom_site_label
_atom_site_fract_x
_atom_site_fract_y
_atom_site_fract_z
Tl1 0.7500 0.7612 0.5224
Tl2 0.2500 0.2388 0.4776
Hg1 0.2500 0.6503 0.3005
Pb1 0.5000 0.2542 0.0000
Pb2 0.0000 0.7458 0.0000
Sn1 0.2500 0.8563 0.7125
Sn2 0.7500 0.1437 0.2875
Pb3 0.0000 0.2542 0.0000
Pb4 0.5000 0.7458 0.0000
Hg2 0.7500 0.3497 0.6995
# Spin magnetization, μB per atom: 0.00
# ΔE_f, eV/atom: 0.0744
# Space-group type: No. 63

***

# Sm3Se2S (GGA-PBE, relaxed)
data_Sm3Se2S
_chemical_formula_sum 'Sm3 Se2 S1'
_cell_length_a 4.1126
_cell_length_b 5.8098
_cell_length_c 7.1618
_cell_angle_alpha 113.93
_cell_angle_beta 106.69
_cell_angle_gamma 90.00
_symmetry_space_group_name_H-M 'P 1'
_symmetry_Int_Tables_number 1
loop_
_symmetry_equiv_pos_as_xyz
'x,y,z'
loop_
_atom_site_label
_atom_site_fract_x
_atom_site_fract_y
_atom_site_fract_z
Sm1 0.5000 0.0000 0.5000
Se1 0.1717 0.1717 0.8434
Sm2 0.8476 0.3476 0.1951
Se2 0.8283 0.8283 0.1566
Sm3 0.1524 0.6524 0.8049
S1 0.5000 0.5000 0.5000
# Spin magnetization, μB per atom: 0.00
# Space-group type: No. 71
# Distance to the lowest polymorph of the same formula, meV/atom: 0
# Energy relative to the elements, uncorrected, kJ/mol of atoms: -181.6

***

# TlCr2Cu (GGA-PBE, relaxed)
data_TlCr2Cu
_chemical_formula_sum 'Tl1 Cr2 Cu1'
_cell_length_a 4.4485
_cell_length_b 4.4485
_cell_length_c 3.4370
_cell_angle_alpha 90.00
_cell_angle_beta 90.00
_cell_angle_gamma 90.00
_symmetry_space_group_name_H-M 'P 1'
_symmetry_Int_Tables_number 1
loop_
_symmetry_equiv_pos_as_xyz
'x,y,z'
loop_
_atom_site_label
_atom_site_fract_x
_atom_site_fract_y
_atom_site_fract_z
Cu1 0.5000 0.0000 0.5000
Tl1 0.0000 0.5000 0.5000
Cr1 0.5000 0.5000 0.0000
Cr2 0.0000 0.0000 0.0000
# Spin magnetization, μB per atom: 1.88
# ΔE_f, eV/atom: 0.6351
# Space-group type: No. 123

***

# Zn2BBr (GGA-PBE, relaxed)
data_Zn2BBr
_chemical_formula_sum 'Zn2 B1 Br1'
_cell_length_a 4.6396
_cell_length_b 4.6396
_cell_length_c 4.6396
_cell_angle_alpha 60.00
_cell_angle_beta 60.00
_cell_angle_gamma 60.00
_symmetry_space_group_name_H-M 'P 1'
_symmetry_Int_Tables_number 1
loop_
_symmetry_equiv_pos_as_xyz
'x,y,z'
loop_
_atom_site_label
_atom_site_fract_x
_atom_site_fract_y
_atom_site_fract_z
Zn1 0.2500 0.2500 0.2500
Zn2 0.7500 0.7500 0.7500
Br1 0.5000 0.5000 0.5000
B1 0.0000 0.0000 0.0000
# Spin magnetization, μB per atom: 0.00
# Space-group type: No. 225
# Distance to the lowest polymorph of the same formula, meV/atom: 827
# Energy relative to the elements, uncorrected, kJ/mol of atoms: 115.0

***

# YTlCr3 (GGA-PBE, relaxed)
data_YTlCr3
_chemical_formula_sum 'Y1 Tl1 Cr3'
_cell_length_a 5.1248
_cell_length_b 5.1248
_cell_length_c 5.1248
_cell_angle_alpha 90.00
_cell_angle_beta 90.00
_cell_angle_gamma 90.00
_symmetry_space_group_name_H-M 'P 1'
_symmetry_Int_Tables_number 1
loop_
_symmetry_equiv_pos_as_xyz
'x,y,z'
loop_
_atom_site_label
_atom_site_fract_x
_atom_site_fract_y
_atom_site_fract_z
Cr1 0.5000 0.0000 0.0000
Cr2 0.0000 0.5000 0.0000
Cr3 0.0000 0.0000 0.5000
Tl1 0.0000 0.0000 0.0000
Y1 0.5000 0.5000 0.5000
# Spin magnetization, μB per atom: 2.50
# ΔE_f, eV/atom: 1.2984
# Space-group type: No. 221
# Distance to the lowest polymorph of the same formula, meV/atom: 0

***

# TcNiTe2H (GGA-PBE, relaxed)
data_TcNiTe2H
_chemical_formula_sum 'Tc1 Ni1 Te2 H1'
_cell_length_a 5.0575
_cell_length_b 3.1892
_cell_length_c 5.0575
_cell_angle_alpha 90.00
_cell_angle_beta 90.00
_cell_angle_gamma 90.00
_symmetry_space_group_name_H-M 'P 1'
_symmetry_Int_Tables_number 1
loop_
_symmetry_equiv_pos_as_xyz
'x,y,z'
loop_
_atom_site_label
_atom_site_fract_x
_atom_site_fract_y
_atom_site_fract_z
H1 0.0000 0.5000 0.0000
Tc1 0.5000 0.5000 0.5000
Te1 0.5000 0.0000 0.0000
Te2 0.0000 0.0000 0.5000
Ni1 0.0000 0.0000 0.0000
# Spin magnetization, μB per atom: 0.16
# Space-group type: No. 123
# Distance to the lowest polymorph of the same formula, meV/atom: 0

***

# Pm2TiSnO6 (GGA-PBE, relaxed)
data_Pm2TiSnO6
_chemical_formula_sum 'Pm2 Ti1 Sn1 O6'
_cell_length_a 5.4185
_cell_length_b 5.4448
_cell_length_c 5.4448
_cell_angle_alpha 90.00
_cell_angle_beta 90.00
_cell_angle_gamma 90.00
_symmetry_space_group_name_H-M 'P 1'
_symmetry_Int_Tables_number 1
loop_
_symmetry_equiv_pos_as_xyz
'x,y,z'
loop_
_atom_site_label
_atom_site_fract_x
_atom_site_fract_y
_atom_site_fract_z
Pm1 0.9803 0.0000 0.5000
O1 0.7416 0.7671 0.7671
O2 0.7416 0.7671 0.2329
O3 0.2679 0.0000 0.0000
Pm2 0.9803 0.5000 0.0000
Sn1 0.5274 0.5000 0.5000
Ti1 0.6050 0.0000 0.0000
O4 0.7416 0.2329 0.7671
O5 0.1194 0.5000 0.5000
O6 0.7416 0.2329 0.2329
# Spin magnetization, μB per atom: 0.00
# Space-group type: No. 99
# Energy relative to the elements, uncorrected, kJ/mol of atoms: -255.3

***

# NaBi2Pb (GGA-PBE, relaxed)
data_NaBi2Pb
_chemical_formula_sum 'Na4 Bi8 Pb4'
_cell_length_a 7.8080
_cell_length_b 4.8806
_cell_length_c 14.5413
_cell_angle_alpha 90.00
_cell_angle_beta 106.80
_cell_angle_gamma 90.00
_symmetry_space_group_name_H-M 'P 1'
_symmetry_Int_Tables_number 1
loop_
_symmetry_equiv_pos_as_xyz
'x,y,z'
loop_
_atom_site_label
_atom_site_fract_x
_atom_site_fract_y
_atom_site_fract_z
Bi1 0.5420 0.0000 0.7958
Na1 0.8596 0.5000 0.8431
Bi2 0.8519 0.5000 0.5068
Na2 0.8596 0.0000 0.3431
Pb1 0.2083 0.0000 0.5713
Bi3 0.8519 0.0000 0.0068
Pb2 0.2083 0.5000 0.0713
Bi4 0.1979 0.0000 0.9109
Na3 0.5398 0.0000 0.1172
Pb3 0.2368 0.0000 0.2549
Bi5 0.5420 0.5000 0.2958
Na4 0.5398 0.5000 0.6172
Pb4 0.2368 0.5000 0.7549
Bi6 0.8820 0.0000 0.6676
Bi7 0.1979 0.5000 0.4109
Bi8 0.8820 0.5000 0.1676
# Spin magnetization, μB per atom: 0.00
# ΔE_f, eV/atom: -0.0838
# Space-group type: No. 8

***

Look up the spin magnetization of the first one. 0.00 μB per atom

***

Which of these has the highest spin magnetization? YTlCr3